1.
A relaxed TmHfPt2 crystal, computed with PBE.

The calculation puts the density of states at the Fermi level at 0.510 states/eV/atom. As for the formation energy: -1.17 eV/atom. Its space group is No. 11.

a b c (Å): 4.5126 5.7344 7.1107
angles (deg): 119.49 90.00 90.00
Closest atoms and distances in Å follow each position.
Positions (direct):
Tm  0.2500  0.2710  0.1004  7 Pt 2.93-3.26
Tm  0.7500  0.7290  0.8996  7 Pt 2.93-3.26
Hf  0.7500  0.7506  0.3870  6 Pt 2.66-2.80
Hf  0.2500  0.2494  0.6130  6 Pt 2.66-2.80
Pt  0.2500  0.8419  0.2111  3 Hf 2.66-2.75, 2 Tm 2.93-2.97
Pt  0.7500  0.1581  0.7889  3 Hf 2.66-2.75, 2 Tm 2.93-2.97
Pt  0.7500  0.2750  0.3898  4 Hf 2.74-3.00, 2 Tm 3.05
Pt  0.2500  0.7250  0.6102  4 Hf 2.74-3.00, 2 Tm 3.05

=====

2.
A relaxed Rb2TlCu2F6 crystal, computed with PBE.

The calculation puts the density of states at the Fermi level at 1.225 states/eV/atom. The calculation puts the energy relative to the elements, uncorrected at -181.3 kJ/mol of atoms. Its space group is No. 166.

a b c (Å): 6.5000 6.5000 7.7132
angles (deg): 65.08 65.08 60.00
Closest atoms and distances in Å follow each position.
Positions (direct):
Rb  0.7952  0.7952  0.6144  3 F 2.85
Rb  0.2048  0.2048  0.3856  3 F 2.85
Tl  0.0000  0.0000  0.0000  6 F 2.71
Cu  0.4354  0.4354  0.6939  3 F 1.90
Cu  0.5646  0.5646  0.3061  3 F 1.90
F  0.7377  0.7377  0.2930  1 Cu 1.90
F  0.2317  0.7377  0.2930  1 Cu 1.90
F  0.7377  0.2317  0.2930  1 Cu 1.90
F  0.2623  0.7683  0.7070  1 Cu 1.90
F  0.7683  0.2623  0.7070  1 Cu 1.90
F  0.2623  0.2623  0.7070  1 Cu 1.90

=====

3.
A relaxed Bi3OsS crystal, computed with PBE.

The calculation puts the density of states at the Fermi level at 0.934 states/eV/atom. The calculation puts the energy relative to the elements, uncorrected at 130.9 kJ/mol of atoms. Its space group is No. 221.

a b c (Å): 5.2120 5.2120 5.2120
angles (deg): 90.00 90.00 90.00
Closest atoms and distances in Å follow each position.
Positions (direct):
S  0.0000  0.0000  0.0000  6 Bi 2.61
Os  0.5000  0.5000  0.5000  12 Bi 3.69
Bi  0.0000  0.5000  0.0000  2 S 2.61
Bi  0.0000  0.0000  0.5000  2 S 2.61
Bi  0.5000  0.0000  0.0000  2 S 2.61

=====

4.
A relaxed Co2SnP2 crystal, computed with PBE.

The calculation puts the density of states at the Fermi level at 0.997 states/eV/atom. As for the formation energy: 0.03 eV/atom. Its space group is No. 127.

a b c (Å): 7.1509 7.1509 2.8269
angles (deg): 90.00 90.00 90.00
Closest atoms and distances in Å follow each position.
Positions (direct):
P  0.1317  0.6317  0.5000  4 Co 2.32
P  0.6317  0.8683  0.5000  4 Co 2.32
P  0.8683  0.3683  0.5000  4 Co 2.32
P  0.3683  0.1317  0.5000  4 Co 2.32
Co  0.3748  0.8748  0.0000  4 P 2.32, 1 Co 2.53
Co  0.8748  0.6252  0.0000  4 P 2.32, 1 Co 2.53
Co  0.6252  0.1252  0.0000  4 P 2.32, 1 Co 2.53
Co  0.1252  0.3748  0.0000  4 P 2.32, 1 Co 2.53
Sn  0.0000  0.0000  0.0000  4 Co 2.83, 2 Sn 2.83, 8 P 3.13
Sn  0.5000  0.5000  0.0000  4 Co 2.83, 2 Sn 2.83, 8 P 3.13

=====

5.
A relaxed MnTl2As crystal, computed with PBE.

The calculation puts the density of states at the Fermi level at 0.548 states/eV/atom. As for the formation energy: 0.41 eV/atom. Its space group is No. 216.

a b c (Å): 5.1159 5.1159 5.1159
angles (deg): 60.00 60.00 60.00
Closest atoms and distances in Å follow each position.
Positions (direct):
As  0.5000  0.5000  0.5000  4 Tl 3.13, 4 Mn 3.13
Mn  0.7500  0.7500  0.7500  4 As 3.13, 4 Tl 3.13
Tl  0.0000  0.0000  0.0000  4 Tl 3.13, 4 Mn 3.13
Tl  0.2500  0.2500  0.2500  4 Tl 3.13, 4 As 3.13

=====

6.
A relaxed KBe2 crystal, computed with PBE.

The calculation puts the density of states at the Fermi level at 0.324 states/eV/atom. As for the formation energy: 0.99 eV/atom. Its space group is No. 141.

a b c (Å): 6.5915 6.5915 6.5915
angles (deg): 138.16 138.16 60.66
Closest atoms and distances in Å follow each position.
Positions (direct):
K  0.0000  0.0000  0.0000  4 Be 2.95
K  0.7500  0.2500  0.5000  4 Be 2.95
Be  0.5934  0.5934  0.0000  1 Be 2.13
Be  0.1566  0.6566  0.5000  1 Be 2.13
Be  0.4066  0.4066  0.0000  1 Be 2.13
Be  0.3434  0.8434  0.5000  1 Be 2.13

=====

7.
A relaxed ThSnN crystal, computed with PBE.

The calculation puts the density of states at the Fermi level at 0.083 states/eV/atom. The calculation puts the energy relative to the elements, uncorrected at -118.6 kJ/mol of atoms. Its space group is No. 129.

a b c (Å): 4.1255 4.1255 8.2481
angles (deg): 90.00 90.00 90.00
Closest atoms and distances in Å follow each position.
Positions (direct):
N  0.0000  0.0000  0.0000  4 Th 2.35
N  0.5000  0.5000  0.0000  4 Th 2.35
Sn  0.0000  0.5000  0.4289  4 Sn 3.14
Sn  0.5000  0.0000  0.5711  4 Sn 3.14
Th  0.0000  0.5000  0.8636  4 N 2.35
Th  0.5000  0.0000  0.1364  4 N 2.35

=====

8.
A relaxed LaBe2As crystal, computed with PBE.

The calculation puts the density of states at the Fermi level at 0.646 states/eV/atom. As for the formation energy: 0.11 eV/atom. Its space group is No. 123.

a b c (Å): 4.2093 4.2103 4.2656
angles (deg): 90.00 90.00 90.00
Closest atoms and distances in Å follow each position.
Positions (direct):
Be  0.0000  0.0000  0.0000  4 Be 2.98, 4 La 3.00, 4 As 3.00
Be  0.5000  0.5000  0.0000  4 Be 2.98, 4 As 3.00, 4 La 3.00
As  0.0000  0.5000  0.5000  4 La 2.98, 8 Be 3.00
La  0.5000  0.0000  0.5000  4 As 2.98, 8 Be 3.00

=====

9.
A relaxed K2BaI2 crystal, computed with PBE.

The calculation puts the density of states at the Fermi level at 0.947 states/eV/atom. The calculation puts the energy relative to the elements, uncorrected at -78.9 kJ/mol of atoms. Its space group is No. 139.

a b c (Å): 5.1980 5.1980 9.3538
angles (deg): 73.87 73.87 90.00
Closest atoms and distances in Å follow each position.
Positions (direct):
I  0.3928  0.3928  0.2144  4 K 3.58, 1 I 3.69
I  0.6072  0.6072  0.7856  4 K 3.58, 1 I 3.69
K  0.7500  0.2500  0.5000  4 I 3.58, 4 K 3.68
K  0.2500  0.7500  0.5000  4 I 3.58, 4 K 3.68
Ba  0.0000  0.0000  0.0000  8 I 4.11

=====

10.
A relaxed Ti2VBiB crystal, computed with PBE.

The calculation puts the density of states at the Fermi level at 0.703 states/eV/atom. As for the formation energy: 0.73 eV/atom. Its space group is No. 123.

a b c (Å): 4.6976 4.1204 4.6976
angles (deg): 90.00 90.00 90.00
Closest atoms and distances in Å follow each position.
Positions (direct):
B  0.0000  0.5000  0.0000  2 V 2.06
Ti  0.0000  0.0000  0.5000  2 V 2.35
Ti  0.5000  0.0000  0.0000  2 V 2.35
Bi  0.5000  0.5000  0.5000  8 Ti 3.12, 4 B 3.32
V  0.0000  0.0000  0.0000  2 B 2.06

=====

11.
A relaxed LaAgPb crystal, computed with PBE.

The calculation puts the density of states at the Fermi level at 0.601 states/eV/atom. As for the formation energy: -0.44 eV/atom. Its space group is No. 44.

a b c (Å): 4.9831 6.3054 6.3053
angles (deg): 93.93 113.28 66.73
Closest atoms and distances in Å follow each position.
Positions (direct):
Pb  0.4828  0.2878  0.0715  3 Ag 2.90
Pb  0.0046  0.7661  0.5932  3 Ag 2.90
Ag  0.5458  0.5575  0.4670  3 Pb 2.90, 1 Ag 3.07
Ag  0.9416  0.1616  0.8629  3 Pb 2.90, 1 Ag 3.07
La  0.2437  0.1733  0.4787  6 Ag 3.34-3.58, 6 Pb 3.45-3.56
La  0.7437  0.7048  0.0102  6 Ag 3.34-3.67, 6 Pb 3.43-3.46

=====

12.
A relaxed PPdAu2 crystal, computed with PBE.

The calculation puts the density of states at the Fermi level at 0.315 states/eV/atom. As for the formation energy: 0.18 eV/atom. Its space group is No. 225.

a b c (Å): 4.5550 4.5550 4.5550
angles (deg): 60.00 60.00 60.00
Closest atoms and distances in Å follow each position.
Positions (direct):
P  0.0000  0.0000  0.0000  8 Au 2.79
Au  0.2500  0.2500  0.2500  4 Pd 2.79, 4 P 2.79
Au  0.7500  0.7500  0.7500  4 Pd 2.79, 4 P 2.79
Pd  0.5000  0.5000  0.5000  8 Au 2.79

=====

13.
A relaxed ScBSb2Rh crystal, computed with PBE.

The calculation puts the density of states at the Fermi level at 0.451 states/eV/atom. The calculation puts the energy relative to the elements, uncorrected at -0.6 kJ/mol of atoms. Its space group is No. 123.

a b c (Å): 4.9588 3.9736 4.9588
angles (deg): 90.00 90.00 90.00
Closest atoms and distances in Å follow each position.
Positions (direct):
Sc  0.5000  0.5000  0.5000  8 Sb 3.18, 4 Rh 3.51
Sb  0.0000  0.0000  0.5000  2 B 2.48
Sb  0.5000  0.0000  0.0000  2 B 2.48
B  0.0000  0.0000  0.0000  2 Rh 1.99
Rh  0.0000  0.5000  0.0000  2 B 1.99

=====

14.
A relaxed Sr4PtBr5 crystal, computed with PBE.

The calculation puts the density of states at the Fermi level at 0.253 states/eV/atom. The calculation puts the energy relative to the elements, uncorrected at -167.8 kJ/mol of atoms. Its space group is No. 12.

a b c (Å): 4.4744 8.9862 11.4081
angles (deg): 123.33 101.31 90.00
Closest atoms and distances in Å follow each position.
Positions (direct):
Sr  0.6603  0.2170  0.3207  1 Pt 2.97, 5 Br 3.05-3.19
Sr  0.0010  0.7616  0.0019  4 Br 3.09-3.24, 2 Pt 3.11
Sr  0.3397  0.7830  0.6793  1 Pt 2.97, 5 Br 3.05-3.19
Sr  0.9990  0.2384  0.9981  4 Br 3.09-3.24, 2 Pt 3.11
Pt  0.5000  0.0000  0.0000  6 Sr 2.97-3.11
Br  0.1675  0.9962  0.3350  3 Sr 3.05-3.09
Br  0.1706  0.4789  0.3412  4 Sr 3.16-3.19
Br  0.8294  0.5211  0.6588  4 Sr 3.16-3.19
Br  0.5000  0.5000  0.0000  4 Sr 3.24
Br  0.8325  0.0038  0.6650  3 Sr 3.05-3.09

=====

15.
A relaxed La4AgPI2 crystal, computed with PBE.

The calculation puts the density of states at the Fermi level at 0.826 states/eV/atom. The calculation puts the energy relative to the elements, uncorrected at -96.0 kJ/mol of atoms. Its space group is No. 10.

a b c (Å): 4.2961 7.7954 8.0930
angles (deg): 107.17 90.00 90.00
Closest atoms and distances in Å follow each position.
Positions (direct):
La  0.5000  0.2505  0.2122  1 P 2.95, 2 Ag 3.07
La  0.5000  0.7495  0.7878  1 P 2.95, 2 Ag 3.07
La  0.0000  0.2847  0.7956  2 P 2.92, 1 Ag 3.14
La  0.0000  0.7153  0.2044  2 P 2.92, 1 Ag 3.14
Ag  0.0000  0.0000  0.0000  6 La 3.07-3.14
P  0.5000  0.5000  0.0000  6 La 2.92-2.95
I  0.5000  0.0000  0.5000  6 La 3.45-3.48
I  0.0000  0.5000  0.5000  6 La 3.30-3.34

=====

16.
A relaxed Ba2NdThBi4 crystal, computed with PBE.

The calculation puts the density of states at the Fermi level at 0.790 states/eV/atom. As for the formation energy: -0.81 eV/atom. Its space group is No. 10.

a b c (Å): 4.7651 8.2665 8.6070
angles (deg): 108.66 90.00 90.00
Closest atoms and distances in Å follow each position.
Positions (direct):
Ba  0.5000  0.0000  0.5000  6 Bi 3.57
Ba  0.0000  0.5000  0.5000  6 Bi 3.59
Nd  0.5000  0.5000  0.0000  6 Bi 3.29-3.30
Th  0.0000  0.0000  0.0000  6 Bi 3.27
Bi  0.5000  0.2374  0.2190  2 Th 3.27, 1 Nd 3.30, 3 Ba 3.57-3.59
Bi  0.5000  0.7626  0.7810  2 Th 3.27, 1 Nd 3.30, 3 Ba 3.57-3.59
Bi  0.0000  0.2582  0.7805  1 Th 3.27, 2 Nd 3.29, 3 Ba 3.57-3.59
Bi  0.0000  0.7418  0.2195  1 Th 3.27, 2 Nd 3.29, 3 Ba 3.57-3.59

=====

17.
A relaxed ZnFeOsRu2 crystal, computed with PBE.

The calculation puts the density of states at the Fermi level at 1.240 states/eV/atom. As for the formation energy: 1.62 eV/atom. Its space group is No. 123.

a b c (Å): 4.6561 4.6965 4.6561
angles (deg): 90.00 90.00 90.00
Closest atoms and distances in Å follow each position.
Positions (direct):
Ru  0.0000  0.0000  0.5000  2 Os 2.33
Ru  0.5000  0.0000  0.0000  2 Os 2.33
Zn  0.0000  0.5000  0.0000  2 Os 2.35
Os  0.0000  0.0000  0.0000  4 Ru 2.33, 2 Zn 2.35
Fe  0.5000  0.5000  0.5000  4 Zn 3.29, 8 Ru 3.31

=====

18.
A relaxed CoTe2N crystal, computed with PBE.

The calculation puts the density of states at the Fermi level at 0.697 states/eV/atom. The calculation puts the energy relative to the elements, uncorrected at 54.8 kJ/mol of atoms. Its space group is No. 12.

a b c (Å): 6.9505 6.9505 7.0164
angles (deg): 66.64 66.64 29.65
Closest atoms and distances in Å follow each position.
Positions (direct):
Co  0.2423  0.2423  0.7533  6 Te 2.52-2.64
Co  0.7577  0.7577  0.2467  6 Te 2.52-2.64
Te  0.1418  0.1418  0.1459  2 N 2.29, 1 Co 2.52
Te  0.3584  0.3584  0.3521  1 N 2.03
Te  0.6416  0.6416  0.6479  1 N 2.03
Te  0.8582  0.8582  0.8541  2 N 2.29, 1 Co 2.52
N  0.4758  0.4758  0.7634  1 Te 2.03
N  0.5242  0.5242  0.2366  1 Te 2.03

=====

19.
A relaxed NaTiCuF6 crystal, computed with PBE.

The calculation puts the density of states at the Fermi level at 0.483 states/eV/atom. The calculation puts the energy relative to the elements, uncorrected at -263.5 kJ/mol of atoms. Its space group is No. 163.

a b c (Å): 5.5036 5.5036 9.4425
angles (deg): 90.00 90.00 120.00
Closest atoms and distances in Å follow each position.
Positions (direct):
Na  0.0000  0.0000  0.0000  6 F 2.38
Na  0.0000  0.0000  0.5000  6 F 2.38
Ti  0.6667  0.3333  0.2500  6 F 1.91
Ti  0.3333  0.6667  0.7500  6 F 1.91
Cu  0.3333  0.6667  0.2500  6 F 2.22
Cu  0.6667  0.3333  0.7500  6 F 2.22
F  0.6611  0.6181  0.1373  1 Ti 1.91
F  0.9571  0.3389  0.1373  1 Ti 1.91
F  0.3389  0.9571  0.6373  1 Ti 1.91
F  0.0429  0.6611  0.8627  1 Ti 1.91
F  0.3818  0.3389  0.3627  1 Ti 1.91
F  0.9571  0.6181  0.3627  1 Ti 1.91
F  0.6182  0.9571  0.8627  1 Ti 1.91
F  0.6611  0.0429  0.3627  1 Ti 1.91
F  0.0429  0.3819  0.6373  1 Ti 1.91
F  0.3818  0.0429  0.1373  1 Ti 1.91
F  0.6182  0.6611  0.6373  1 Ti 1.91
F  0.3389  0.3819  0.8627  1 Ti 1.91

=====

20.
A relaxed Na6Hg12Sb crystal, computed with PBE.

The calculation puts the density of states at the Fermi level at 0.284 states/eV/atom. The calculation puts the energy relative to the elements, uncorrected at -18.8 kJ/mol of atoms. Its space group is No. 148.

a b c (Å): 7.9820 7.9820 7.9820
angles (deg): 92.64 92.64 92.64
Closest atoms and distances in Å follow each position.
Positions (direct):
Na  0.7146  0.8787  0.2625  9 Hg 3.17-3.44, 1 Sb 3.31, 2 Na 3.49
Na  0.7375  0.2854  0.1213  9 Hg 3.17-3.44, 1 Sb 3.31, 2 Na 3.49
Na  0.1213  0.7375  0.2854  9 Hg 3.17-3.44, 1 Sb 3.31, 2 Na 3.49
Na  0.2854  0.1213  0.7375  9 Hg 3.17-3.44, 1 Sb 3.31, 2 Na 3.49
Na  0.2625  0.7146  0.8787  9 Hg 3.17-3.44, 1 Sb 3.31, 2 Na 3.49
Na  0.8787  0.2625  0.7146  9 Hg 3.17-3.44, 1 Sb 3.31, 2 Na 3.49
Hg  0.7911  0.5359  0.4509  3 Hg 3.04-3.18, 4 Na 3.18-3.38
Hg  0.4509  0.7911  0.5359  3 Hg 3.04-3.18, 4 Na 3.18-3.38
Hg  0.5359  0.4509  0.7911  3 Hg 3.04-3.18, 4 Na 3.18-3.38
Hg  0.2089  0.4641  0.5491  3 Hg 3.04-3.18, 4 Na 3.18-3.38
Hg  0.5491  0.2089  0.4641  3 Hg 3.04-3.18, 4 Na 3.18-3.38
Hg  0.4641  0.5491  0.2089  3 Hg 3.04-3.18, 4 Na 3.18-3.38
Hg  0.0490  0.1421  0.3814  2 Hg 3.04-3.12, 4 Na 3.17-3.39, 1 Sb 3.20
Hg  0.8579  0.6186  0.9510  2 Hg 3.04-3.12, 4 Na 3.17-3.39, 1 Sb 3.20
Hg  0.6186  0.9510  0.8579  2 Hg 3.04-3.12, 4 Na 3.17-3.39, 1 Sb 3.20
Hg  0.9510  0.8579  0.6186  2 Hg 3.04-3.12, 4 Na 3.17-3.39, 1 Sb 3.20
Hg  0.1421  0.3814  0.0490  2 Hg 3.04-3.12, 4 Na 3.17-3.39, 1 Sb 3.20
Hg  0.3814  0.0490  0.1421  2 Hg 3.04-3.12, 4 Na 3.17-3.39, 1 Sb 3.20
Sb  0.0000  0.0000  0.0000  6 Hg 3.20, 6 Na 3.31